Entry from OQMD: ZrSbPd after structural relaxation (GGA-PBE).

Cell lengths 6.843, 4.358, 8.013 Å; angles 90.00, 90.00, 90.00 degrees
Atoms (fractional coordinates):
Pd 0.668 0.250 0.075
Pd 0.168 0.250 0.425
Pd 0.832 0.750 0.575
Pd 0.332 0.750 0.925
Sb 0.269 0.250 0.104
Sb 0.769 0.250 0.396
Sb 0.231 0.750 0.604
Sb 0.731 0.750 0.896
Zr 0.984 0.750 0.196
Zr 0.484 0.750 0.304
Zr 0.516 0.250 0.696
Zr 0.016 0.250 0.804

Computed properties:
Spin magnetization   0.001 μB/f.u.
Total DFT energy (no corrections)   -80.39 eV for the cell shown
Calculated density   8.877 Mg/m³

Entry from OQMD: ZrSbPd2 after structural relaxation (GGA-PBE).

Cell lengths 4.707, 4.707, 4.707 Å; angles 60.00, 60.00, 60.00 degrees
Atoms (fractional coordinates):
Pd 0.000 0.000 0.000
Pd 0.750 0.750 0.750
Sb 0.500 0.500 0.500
Zr 0.250 0.250 0.250

Computed properties:
Spin magnetization   0.002 μB/f.u.
Total DFT energy (no corrections)   -25.26 eV for the cell shown
Calculated density   9.586 Mg/m³

Entry from OQMD: Zr3Sb4Pd3 after structural relaxation (GGA-PBE).

Cell lengths 8.178, 8.178, 8.178 Å; angles 109.47, 109.47, 109.47 degrees
Atoms (fractional coordinates):
Pd 0.875 0.250 0.125
Pd 0.125 0.875 0.250
Pd 0.625 0.750 0.375
Pd 0.750 0.375 0.625
Pd 0.375 0.625 0.750
Pd 0.250 0.125 0.875
Sb 0.818 0.500 0.000
Sb 0.318 0.500 0.000
Sb 0.182 0.182 0.182
Sb 0.500 0.000 0.318
Sb 0.000 0.818 0.500
Sb 0.000 0.318 0.500
Sb 0.682 0.682 0.682
Sb 0.500 0.000 0.818
Zr 0.750 0.875 0.125
Zr 0.625 0.375 0.250
Zr 0.250 0.625 0.375
Zr 0.375 0.250 0.625
Zr 0.875 0.125 0.750
Zr 0.125 0.750 0.875

Computed properties:
Spin magnetization   0.002 μB/f.u.
Total DFT energy (no corrections)   -129.22 eV for the cell shown
Calculated density   8.518 Mg/m³

Entry from OQMD: ZrSb2Pd2 after structural relaxation (GGA-PBE).

Cell lengths 4.020, 4.020, 6.983 Å; angles 106.73, 106.73, 90.00 degrees
Atoms (fractional coordinates):
Pd 0.750 0.250 0.500
Pd 0.250 0.750 0.500
Sb 0.613 0.613 0.225
Sb 0.387 0.387 0.775
Zr 0.000 0.000 0.000

Computed properties:
Spin magnetization   0.001 μB/f.u.
Total DFT energy (no corrections)   -28.89 eV for the cell shown
Calculated density   8.824 Mg/m³